(1)
A geometry-optimized KMoCBr2 structure, computed with PBE.

The uncorrected formation energy comes out at 1.8197 eV per atom. The calculation puts the total magnetic moment at 2.3 μB/f.u. The offset from the most stable computed form is 6.36 eV/f.u. The value obtained for the density is 3.0 Mg/m³. The density of states at the Fermi level comes out at 8.17 states/eV per cell.

The space group is P4/mmm (No. 123) and the conventional cell measures 5.896, 5.896 and 4.919 Å, with angles of 90.00, 90.00 and 90.00 degrees. Symmetry generates all atoms from K at (0.000, 0.000, 0.000), Mo at (0.500, 0.500, 0.500), C at (0.000, 0.000, 0.500) and Br at (0.000, 0.500, 0.000).

(2)
A geometry-optimized ZnCuAu3 structure, computed with PBE.

The calculation puts the total magnetic moment at 0.0 μB/f.u. The offset from the most stable computed form is 3.40 eV/f.u. The value obtained for the density is 10.9 Mg/m³. The density of states at the Fermi level comes out at 2.34 states/eV per cell. Its formation enthalpy at 0 K is 0.56 eV/atom.

The space group is Pm-3m (No. 221) and the conventional cell measures 4.784, 4.784 and 4.784 Å, with angles of 90.00, 90.00 and 90.00 degrees. Symmetry generates all atoms from Zn at (0.000, 0.000, 0.000), Cu at (0.500, 0.500, 0.500) and Au at (0.000, 0.500, 0.500).

(3)
A geometry-optimized Tl3Te3Au structure, computed with PBE.

The uncorrected formation energy comes out at -0.1789 eV per atom. The calculation puts the total magnetic moment at 0.0 μB/f.u. The offset from the most stable computed form is 0.00 eV/f.u. The value obtained for the density is 8.2 Mg/m³. The density of states at the Fermi level comes out at 1.25 states/eV per cell.

The space group is C2/m (No. 12) and the conventional cell measures 12.443, 4.702 and 16.610 Å, with angles of 90.00, 97.06 and 90.00 degrees. Symmetry generates all atoms from Tl at (0.026, 0.000, 0.239), Tl at (0.146, 0.500, 0.638), Tl at (0.163, 0.000, 0.069), Te at (0.064, 0.500, 0.936), Te at (0.101, 0.000, 0.468), Te at (0.225, 0.500, 0.249) and Au at (0.115, 0.500, 0.383).

(4)
A geometry-optimized SrTh2MoN5 structure, computed with PBE.

The uncorrected formation energy comes out at -1.1872 eV per atom. The calculation puts the total magnetic moment at 0.0 μB/f.u. The value obtained for the density is 8.5 Mg/m³. The density of states at the Fermi level comes out at 6.03 states/eV per cell.

The space group is I4/mcm (No. 140) and the conventional cell measures 6.928, 6.928 and 11.684 Å, with angles of 90.00, 90.00 and 90.00 degrees. Symmetry generates all atoms from Sr at (0.000, 0.000, 0.250), Th at (0.179, 0.321, 0.000), Mo at (0.000, 0.500, 0.250), N at (0.000, 0.000, 0.000) and N at (0.144, 0.356, 0.359).

(5)
A geometry-optimized Pr10Tl3Sn3 structure, computed with PBE.

The calculation puts the total magnetic moment at 0.0 μB/f.u. The value obtained for the density is 7.4 Mg/m³. The density of states at the Fermi level comes out at 21.83 states/eV per cell. Its formation enthalpy at 0 K is -0.48 eV/atom.

The space group is P-62m (No. 189) and the conventional cell measures 9.3781, 9.3781 and 6.9610 Å, with angles of 90.00, 90.00 and 120.00 degrees. Symmetry generates all atoms from Pr at (0.0000, 0.2382, 0.0000), Pr at (0.0000, 0.7586, 0.5000), Pr at (0.3333, 0.6667, 0.2533), Tl at (0.0000, 0.5996, 0.0000) and Sn at (0.0000, 0.3944, 0.5000).

(6)
A geometry-optimized Mg2BeCr structure, computed with PBE.

The calculation puts the total magnetic moment at 3.5 μB/f.u. The value obtained for the density is 2.9 Mg/m³. The density of states at the Fermi level comes out at 6.15 states/eV per cell. Its formation enthalpy at 0 K is 0.39 eV/atom.

The space group is F-43m (No. 216) and the conventional cell measures 6.345, 6.345 and 6.345 Å, with angles of 90.00, 90.00 and 90.00 degrees. Symmetry generates all atoms from Mg at (0.000, 0.000, 0.000), Mg at (0.250, 0.250, 0.250), Be at (0.000, 0.000, 0.500) and Cr at (0.250, 0.250, 0.750).

(7)
A geometry-optimized Ca2LaSe structure, computed with PBE.

The uncorrected formation energy comes out at -0.4954 eV per atom. The calculation puts the total magnetic moment at 0.0 μB/f.u. The value obtained for the density is 3.8 Mg/m³. The density of states at the Fermi level comes out at 4.76 states/eV per cell.

The space group is C2/m (No. 12) and the conventional cell measures 6.360, 12.602 and 4.504 Å, with angles of 90.00, 134.18 and 90.00 degrees. Symmetry generates all atoms from Ca at (0.250, 0.250, 0.000), La at (0.000, 0.000, 0.500) and Se at (0.000, 0.500, 0.500).

(8)
A geometry-optimized Re2Tc2Cl structure, computed with PBE.

The uncorrected formation energy comes out at 0.5002 eV per atom. The calculation puts the total magnetic moment at 0.0 μB/f.u. The offset from the most stable computed form is 0.00 eV/f.u. The value obtained for the density is 12.1 Mg/m³. The density of states at the Fermi level comes out at 6.12 states/eV per cell.

The space group is P4/mbm (No. 127) and the conventional cell measures 7.596, 7.596 and 2.873 Å, with angles of 90.00, 90.00 and 90.00 degrees. Symmetry generates all atoms from Re at (0.133, 0.367, 0.000), Tc at (0.151, 0.651, 0.500) and Cl at (0.000, 0.000, 0.500).

(9)
A geometry-optimized Na2TbRuO4 structure, computed with PBE.

The uncorrected formation energy comes out at -1.8866 eV per atom. The calculation puts the total magnetic moment at 1.0 μB/f.u. The value obtained for the density is 6.1 Mg/m³. The density of states at the Fermi level comes out at 3.25 states/eV per cell.

The space group is P2/m (No. 10) and the conventional cell measures 5.437, 3.344 and 5.872 Å, with angles of 90.00, 109.12 and 90.00 degrees. Symmetry generates all atoms from Na at (0.000, 0.000, 0.000), Na at (0.500, 0.500, 0.000), Tb at (0.000, 0.500, 0.500), Ru at (0.500, 0.000, 0.500), O at (0.252, 0.000, 0.722) and O at (0.295, 0.500, 0.298).

(10)
A geometry-optimized MgSc5Hg6 structure, computed with PBE.

The calculation puts the total magnetic moment at 0.0 μB/f.u. The value obtained for the density is 9.3 Mg/m³. The density of states at the Fermi level comes out at 17.49 states/eV per cell. Its formation enthalpy at 0 K is -0.41 eV/atom.

The space group is C2/m (No. 12) and the conventional cell measures 15.604, 7.103 and 4.924 Å, with angles of 90.00, 108.19 and 90.00 degrees. Symmetry generates all atoms from Mg at (0.000, 0.000, 0.000), Sc at (0.000, 0.500, 0.000), Sc at (0.165, 0.000, 0.665), Sc at (0.167, 0.500, 0.667), Hg at (0.000, 0.246, 0.500) and Hg at (0.166, 0.247, 0.166).

(11)
A geometry-optimized Ac3AlGa2Pd9 structure, computed with PBE.

The calculation puts the total magnetic moment at 0.0 μB/f.u. The value obtained for the density is 9.0 Mg/m³. The density of states at the Fermi level comes out at 5.90 states/eV per cell. Its formation enthalpy at 0 K is -0.67 eV/atom.

The space group is P-3m1 (No. 164) and the conventional cell measures 6.0045, 6.0045 and 10.6287 Å, with angles of 90.00, 90.00 and 120.00 degrees. Symmetry generates all atoms from Ac at (0.0000, 0.0000, 0.0000), Ac at (0.3333, 0.6667, 0.6613), Al at (0.0000, 0.0000, 0.5000), Ga at (0.3333, 0.6667, 0.1670), Pd at (0.0000, 0.5000, 0.0000) and Pd at (0.1663, 0.3325, 0.3352).

(12)
A geometry-optimized PaSi3Rh2 structure, computed with PBE.

The uncorrected formation energy comes out at -0.6429 eV per atom. The calculation puts the total magnetic moment at 0.0 μB/f.u. The offset from the most stable computed form is 0.20 eV/f.u. The value obtained for the density is 9.0 Mg/m³. The density of states at the Fermi level comes out at 21.84 states/eV per cell.

The space group is Cmcm (No. 63) and the conventional cell measures 9.184, 7.570 and 5.556 Å, with angles of 90.00, 90.00 and 90.00 degrees. Symmetry generates all atoms from Pa at (0.000, 0.167, 0.250), Si at (0.000, 0.471, 0.750), Si at (0.143, 0.206, 0.750) and Rh at (0.223, 0.500, 0.000).

(13)
A geometry-optimized BaTl2InNi structure, computed with PBE.

The calculation puts the total magnetic moment at 0.0 μB/f.u. The value obtained for the density is 8.4 Mg/m³. The density of states at the Fermi level comes out at 3.58 states/eV per cell. Its formation enthalpy at 0 K is -0.16 eV/atom.

The space group is P4/mmm (No. 123) and the conventional cell measures 5.248, 5.248 and 5.152 Å, with angles of 90.00, 90.00 and 90.00 degrees. Symmetry generates all atoms from Ba at (0.000, 0.000, 0.000), Tl at (0.000, 0.500, 0.500), In at (0.500, 0.500, 0.000) and Ni at (0.500, 0.500, 0.500).

(14)
A geometry-optimized Cd2Co2Bi structure, computed with PBE.

The calculation puts the total magnetic moment at 2.6 μB/f.u. The offset from the most stable computed form is 0.69 eV/f.u. The value obtained for the density is 9.4 Mg/m³. The density of states at the Fermi level comes out at 15.26 states/eV per cell. Its formation enthalpy at 0 K is 0.46 eV/atom.

The space group is I4/mmm (No. 139) and the conventional cell measures 3.983, 3.983 and 12.225 Å, with angles of 90.00, 90.00 and 90.00 degrees. Symmetry generates all atoms from Cd at (0.000, 0.500, 0.250), Co at (0.000, 0.000, 0.091) and Bi at (0.000, 0.000, 0.500).

(15)
A geometry-optimized NdAg3Sn3 structure, computed with PBE.

The calculation puts the total magnetic moment at 0.0 μB/f.u. The offset from the most stable computed form is 2.58 eV/f.u. The value obtained for the density is 6.4 Mg/m³. The density of states at the Fermi level comes out at 8.84 states/eV per cell. Its formation enthalpy at 0 K is 0.28 eV/atom.

The space group is Pm-3n (No. 223) and the conventional cell measures 7.525, 7.525 and 7.525 Å, with angles of 90.00, 90.00 and 90.00 degrees. Symmetry generates all atoms from Nd at (0.000, 0.000, 0.000), Ag at (0.000, 0.250, 0.500) and Sn at (0.000, 0.500, 0.250).

(16)
A geometry-optimized NaZn6Ga2 structure, computed with PBE.

The calculation puts the total magnetic moment at 0.0 μB/f.u. The offset from the most stable computed form is 0.00 eV/f.u. The value obtained for the density is 5.9 Mg/m³. The density of states at the Fermi level comes out at 3.14 states/eV per cell. Its formation enthalpy at 0 K is -0.03 eV/atom.

The space group is P4/mmm (No. 123) and the conventional cell measures 4.004, 4.004 and 9.721 Å, with angles of 90.00, 90.00 and 90.00 degrees. Symmetry generates all atoms from Na at (0.000, 0.000, 0.000), Zn at (0.000, 0.000, 0.500), Zn at (0.000, 0.500, 0.303), Zn at (0.500, 0.500, 0.500) and Ga at (0.500, 0.500, 0.132).

(17)
A geometry-optimized MgCd3P structure, computed with PBE.

The calculation puts the total magnetic moment at 0.0 μB/f.u. The offset from the most stable computed form is 0.00 eV/f.u. The value obtained for the density is 4.7 Mg/m³. The density of states at the Fermi level comes out at 1.83 states/eV per cell. Its formation enthalpy at 0 K is 0.31 eV/atom.

The space group is Pm-3m (No. 221) and the conventional cell measures 5.186, 5.186 and 5.186 Å, with angles of 90.00, 90.00 and 90.00 degrees. Symmetry generates all atoms from Mg at (0.000, 0.000, 0.000), Cd at (0.000, 0.500, 0.500) and P at (0.500, 0.500, 0.500).